(1)
A relaxed Pr2Y6ErTm3 crystal, computed with PBE.

a = 6.183 Å, b = 6.183 Å, c = 11.823 Å
α = 94.99°, β = 94.99°, γ = 119.96°
Sites, in units of the cell vectors:
Pr  0.333  0.667  0.000
Pr  0.667  0.333  0.000
Y  0.915  0.583  0.746
Y  0.753  0.753  0.254
Y  0.085  0.417  0.254
Y  0.583  0.915  0.746
Y  0.247  0.247  0.746
Y  0.417  0.085  0.254
Er  0.000  0.000  0.000
Tm  0.166  0.834  0.500
Tm  0.834  0.166  0.500
Tm  0.500  0.500  0.500

Properties
* M_tot: 0.0 Bohr magnetons per cell
* energy of formation from the pure elements: 0.024 eV per atom
* theoretical density: 6.41 g/cm3
* Fermi-level density of states: 17.499 states/eV per cell


(2)
A relaxed AcEr2H crystal, computed with PBE.

a = 3.583 Å, b = 3.583 Å, c = 9.960 Å
α = 79.64°, β = 79.64°, γ = 60.00°
Sites, in units of the cell vectors:
H  0.500  0.500  0.500
Ac  0.000  0.000  0.000
Er  0.122  0.122  0.633
Er  0.878  0.878  0.367

Properties
* M_tot: 0.0 Bohr magnetons per cell
* electronic total energy: -4.1537 eV per atom
* theoretical density: 8.62 g/cm3
* Fermi-level density of states: 4.622 states/eV per cell


(3)
A relaxed LaNd5Dy4 crystal, computed with PBE.

a = 3.643 Å, b = 10.270 Å, c = 9.590 Å
α = 106.08°, β = 79.16°, γ = 90.02°
Sites, in units of the cell vectors:
La  0.500  0.000  0.000
Nd  0.300  0.600  0.400
Nd  0.898  0.802  0.203
Nd  0.102  0.198  0.797
Nd  0.500  0.500  0.000
Nd  0.700  0.400  0.600
Dy  0.300  0.100  0.400
Dy  0.899  0.300  0.203
Dy  0.700  0.900  0.600
Dy  0.101  0.700  0.797

Properties
* M_tot: 0.0 Bohr magnetons per cell
* energy of formation from the pure elements: 0.015 eV per atom
* theoretical density: 7.42 g/cm3
* Fermi-level density of states: 13.256 states/eV per cell